No. 1
Density functional theory data (PBE) for crystalline YZr2Cu2 at its relaxed geometry.

```
data_YZr2Cu2
_chemical_formula_sum 'Y2 Zr4 Cu4'
_symmetry_space_group_name_H-M 'P 4/m b m'
_symmetry_Int_Tables_number 127
_symmetry_space_group_name_Hall '-P 4 2ab'
_cell_length_a 8.185
_cell_length_b 8.185
_cell_length_c 2.970
_cell_angle_alpha 90.00
_cell_angle_beta 90.00
_cell_angle_gamma 90.00
loop_
_atom_site_label
_atom_site_fract_x
_atom_site_fract_y
_atom_site_fract_z
_atom_site_occupancy
Y1 0.000 0.000 0.000 1
Zr1 0.131 0.369 0.000 1
Cu1 0.168 0.668 0.500 1
```

Properties
Calculated volume: 19.90 Å³ per atom
Density of states at the Fermi level: 11.077 states/eV/cell
Energy of formation: 0.34 eV per formula unit
E above lowest polymorph: 0.106 eV per atom

---

No. 2
Density functional theory data (PBE) for crystalline YZrCu10 at its relaxed geometry.

```
data_YZrCu10
_chemical_formula_sum 'Y1 Zr1 Cu10'
_symmetry_space_group_name_H-M 'P m m m'
_symmetry_Int_Tables_number 47
_cell_length_a 4.090
_cell_length_b 4.980
_cell_length_c 8.581
_cell_angle_alpha 90.00
_cell_angle_beta 90.00
_cell_angle_gamma 90.00
loop_
_symmetry_equiv_pos_as_xyz
'x,y,z'
'-x,-y,-z'
'-x,-y,z'
'x,y,-z'
'x,-y,-z'
'-x,y,z'
'-x,y,-z'
'x,-y,z'
loop_
_atom_site_label
_atom_site_fract_x
_atom_site_fract_y
_atom_site_fract_z
_atom_site_occupancy
Y1 0.000 0.000 0.000 1
Zr1 0.000 0.500 0.500 1
Cu1 0.000 0.000 0.339 1
Cu2 0.000 0.500 0.174 1
Cu3 0.500 0.000 0.500 1
Cu4 0.500 0.254 0.256 1
Cu5 0.500 0.500 0.000 1
```

Properties
Calculated volume: 14.57 Å³ per atom
Density of states at the Fermi level: 9.502 states/eV/cell
Energy of formation: -1.39 eV per formula unit